Computed, not measured: InCoNi2 after structural relaxation at the GGA-PBE level of DFT.

Structure (POSCAR):
```
InCoNi2
1.0
4.5077 -0.0067 0.0371
3.6003 2.7124 0.0371
0.9763 0.3258 4.3521
In Co Ni
1 1 2
direct
0.2500 0.2500 0.2500 In
0.7500 0.7500 0.7500 Co
0.4915 0.4915 0.5298 Ni
0.0085 0.0085 0.9702 Ni
```

Calculated values
As for the density of states at the Fermi level: 4.92 states/eV/f.u. Its energy relative to the elements is 124 meV/atom.

Computed, not measured: InCoNi3 after structural relaxation at the GGA-PBE level of DFT.

Structure (POSCAR):
```
InCoNi3
1.0
-0.3670 -2.8675 -3.1927
3.9117 -1.5412 0.9346
-1.7647 -2.8200 2.7356
Ni Co In
3 1 1
direct
0.5000 0.0000 0.0000 Ni
0.0000 0.0000 0.5000 Ni
0.0000 0.5000 0.0000 Ni
0.0000 0.0000 0.0000 Co
0.5000 0.5000 0.5000 In
```

Calculated values
As for the density of states at the Fermi level: 5.77 states/eV/f.u. Its energy relative to the elements is 720 meV/atom.

Computed, not measured: InCoNi2 after structural relaxation at the GGA-PBE level of DFT.

Structure (POSCAR):
```
InCoNi2
1.0
8.3270 0.0073 0.0043
7.8570 2.7581 0.0043
7.8570 1.3425 2.4093
In Ni Co
1 2 1
direct
0.7500 0.7500 0.7500 In
0.9935 0.9935 0.9935 Ni
0.5065 0.5065 0.5065 Ni
0.2500 0.2500 0.2500 Co
```

Calculated values
As for the density of states at the Fermi level: 5.31 states/eV/f.u. Its energy relative to the elements is 330 meV/atom.

Computed, not measured: InCoNi2 after structural relaxation at the GGA-PBE level of DFT.

Structure (POSCAR):
```
InCoNi2
1.0
-2.7936 2.3130 -0.5655
-1.6208 -1.2086 3.0638
1.9099 6.6448 5.8305
Ni Co In
4 2 2
direct
0.3750 0.4100 0.7500 Ni
0.1600 0.6250 0.2500 Ni
0.8750 0.8400 0.7500 Ni
0.5900 0.1250 0.2500 Ni
0.5000 0.5000 0.0000 Co
0.2500 0.7500 0.5000 Co
0.0000 0.0000 0.0000 In
0.7500 0.2500 0.5000 In
```

Calculated values
As for the density of states at the Fermi level: 7.08 states/eV/f.u. Its energy relative to the elements is 429 meV/atom.

Computed, not measured: InCoNi after structural relaxation at the GGA-PBE level of DFT.

Structure (POSCAR):
```
InCoNi
1.0
5.0805 -0.0879 0.0955
4.2253 2.8230 0.1020
0.8552 0.2462 2.9005
Co In Ni
1 1 1
direct
0.0181 0.0181 0.9819 Co
0.3322 0.3322 0.6678 In
0.6497 0.6497 0.3503 Ni
```

Calculated values
As for the density of states at the Fermi level: 4.28 states/eV/f.u. Its energy relative to the elements is 139 meV/atom.

Computed, not measured: InCo2Ni2 after structural relaxation at the GGA-PBE level of DFT.

Structure (POSCAR):
```
InCo2Ni2
1.0
3.3891 0.0000 0.0000
0.0000 3.3891 0.0000
1.6946 1.6946 5.9433
Co In Ni
2 1 2
direct
0.7500 0.2500 0.5000 Co
0.2500 0.7500 0.5000 Co
0.0000 0.0000 0.0000 In
0.6034 0.6034 0.7932 Ni
0.3966 0.3966 0.2068 Ni
```

Calculated values
As for the density of states at the Fermi level: 5.04 states/eV/f.u. Its energy relative to the elements is 218 meV/atom.

Computed, not measured: InCo4Ni after structural relaxation at the GGA-PBE level of DFT.

Structure (POSCAR):
```
InCo4Ni
1.0
-4.1558 -0.6441 2.2583
-3.1157 3.6004 0.3380
-4.0728 -0.1269 -2.4862
Co Ni In
4 1 1
direct
0.8772 0.3743 0.3743 Co
0.3743 0.3743 0.8772 Co
0.3743 0.3743 0.3743 Co
0.3743 0.8772 0.3743 Co
0.0000 0.0000 0.0000 Ni
0.7500 0.7500 0.7500 In
```

Calculated values
As for the density of states at the Fermi level: 8.70 states/eV/f.u. Its energy relative to the elements is 175 meV/atom.

Computed, not measured: InCoNi after structural relaxation at the GGA-PBE level of DFT.

Structure (POSCAR):
```
InCoNi
1.0
2.8822 0.0000 0.0000
-1.4411 2.4961 0.0000
0.0000 0.0000 6.1560
Ni Co In
1 1 1
direct
0.6667 0.3333 0.6869 Ni
0.0000 0.0000 0.9777 Co
0.3333 0.6667 0.3354 In
```

Calculated values
As for the density of states at the Fermi level: 2.69 states/eV/f.u. Its energy relative to the elements is 356 meV/atom.

Computed, not measured: InCoNi2 after structural relaxation at the GGA-PBE level of DFT.

Structure (POSCAR):
```
InCoNi2
1.0
-1.5059 3.9687 -1.5166
-3.3777 2.0052 -2.2112
-2.6908 1.3544 3.4227
Ni In Co
2 1 1
direct
0.0065 0.0065 0.9762 Ni
0.7512 0.7512 0.7397 Ni
0.2504 0.2504 0.2422 In
0.4918 0.4918 0.5419 Co
```

Calculated values
As for the density of states at the Fermi level: 4.19 states/eV/f.u. Its energy relative to the elements is 115 meV/atom.

Computed, not measured: InCo2Ni2 after structural relaxation at the GGA-PBE level of DFT.

Structure (POSCAR):
```
InCo2Ni2
1.0
6.9262 0.0000 0.0000
0.0000 6.9262 0.0000
0.0000 0.0000 2.7304
In Co Ni
2 4 4
direct
0.5000 0.5000 0.0000 In
0.0000 0.0000 0.0000 In
0.8301 0.3301 0.5000 Co
0.6699 0.8301 0.5000 Co
0.1699 0.6699 0.5000 Co
0.3301 0.1699 0.5000 Co
0.1228 0.3772 0.0000 Ni
0.6228 0.1228 0.0000 Ni
0.8772 0.6228 0.0000 Ni
0.3772 0.8772 0.0000 Ni
```

Calculated values
As for the density of states at the Fermi level: 6.06 states/eV/f.u. Its energy relative to the elements is 200 meV/atom.

Computed, not measured: InCoNi2 after structural relaxation at the GGA-PBE level of DFT.

Structure (POSCAR):
```
InCoNi2
1.0
4.5383 0.0227 -0.0106
1.3538 4.3318 0.0106
-2.9403 -2.1851 2.6790
Co Ni In
1 2 1
direct
0.5000 0.5000 0.0000 Co
0.0000 0.0000 0.0000 Ni
0.7500 0.2500 0.5000 Ni
0.2500 0.7500 0.5000 In
```

Calculated values
As for the density of states at the Fermi level: 5.18 states/eV/f.u. Its energy relative to the elements is 70 meV/atom.

Computed, not measured: InCoNi6 after structural relaxation at the GGA-PBE level of DFT.

Structure (POSCAR):
```
InCoNi6
1.0
6.2981 -0.0051 0.0000
-2.1446 5.9217 0.0000
0.0000 0.0000 10.3148
Ni Co In
24 4 4
direct
0.3584 0.1151 0.6170 Ni
0.3695 0.1120 0.1317 Ni
0.8880 0.6305 0.1317 Ni
0.6305 0.8880 0.1317 Ni
0.0000 0.0000 0.2500 Ni
0.2440 0.7560 0.4877 Ni
0.5000 0.5000 0.2500 Ni
0.8849 0.6415 0.6170 Ni
0.5000 0.5000 0.7500 Ni
0.3584 0.1151 0.8830 Ni
0.1151 0.3584 0.6170 Ni
0.8880 0.6305 0.3683 Ni
0.1120 0.3695 0.1317 Ni
0.7560 0.2440 0.0123 Ni
0.1120 0.3695 0.3683 Ni
0.2440 0.7560 0.0123 Ni
0.6415 0.8849 0.6170 Ni
0.0000 0.0000 0.7500 Ni
0.1151 0.3584 0.8830 Ni
0.7560 0.2440 0.4877 Ni
0.8849 0.6415 0.8830 Ni
0.6305 0.8880 0.3683 Ni
0.3695 0.1120 0.3683 Ni
0.6415 0.8849 0.8830 Ni
0.0000 0.0000 0.4950 Co
0.2553 0.7447 0.2500 Co
0.7447 0.2553 0.2500 Co
0.0000 0.0000 0.0050 Co
0.2561 0.7439 0.7500 In
0.7439 0.2561 0.7500 In
0.5000 0.5000 0.4971 In
0.5000 0.5000 0.0029 In
```

Calculated values
As for the density of states at the Fermi level: 10.28 states/eV/f.u. Its energy relative to the elements is 7 meV/atom.